# PBE-GGA Li2AgSn2, optimized geometry
# ΔE_f   -0.23 eV/atom
data_Li2AgSn2
_chemical_formula_sum 'Li8 Ag4 Sn8'
_cell_length_a 10.915
_cell_length_b 5.191
_cell_length_c 7.624
_cell_angle_alpha 90.00
_cell_angle_beta 110.70
_cell_angle_gamma 90.00
_space_group_name_H-M_alt 'C 1 2/c 1'
_space_group_IT_number 15
_space_group_name_Hall '-C 2yc'
loop_
_atom_site_label
_atom_site_fract_x
_atom_site_fract_y
_atom_site_fract_z
Li1 0.195 0.160 0.143
Ag1 0.000 0.159 0.750
Sn1 0.106 0.330 0.459